1.
A plane-wave DFT calculation with PBE was carried out for a geometry-optimized Tb4NdEr2Sc structure.

Properties
total energy = -77.0 eV per cell

Geometry as extended XYZ:
```
16
Lattice="7.0411 0.0000 0.0000 0.0000 9.9486 0.0000 -0.0060 0.0000 7.0594" Properties=species:S:1:pos:R:3 pbc="T T T"
Tb 1.7472 2.4643 1.7463
Tb 1.7472 7.4843 1.7463
Tb 1.7464 2.4647 5.3107
Tb 1.7464 7.4839 5.3107
Tb 5.2887 2.4647 1.7488
Tb 5.2887 7.4839 1.7488
Tb 5.2879 2.4643 5.3131
Tb 5.2879 7.4843 5.3131
Nd 3.5206 4.9743 0.0000
Nd 3.5176 4.9743 3.5297
Er 0.0000 0.0000 0.0000
Er -0.0030 0.0000 3.5297
Er -0.0030 4.9743 3.5297
Er 3.5176 0.0000 3.5297
Sc 0.0000 4.9743 0.0000
Sc 3.5206 0.0000 0.0000
```


2.
A plane-wave DFT calculation with PBE was carried out for a geometry-optimized Rb4HAuI2 structure.

Properties
total energy = -20.2 eV per cell

Geometry as extended XYZ:
```
8
Lattice="8.6879 0.0000 0.0000 0.0000 5.0011 0.0000 -2.8463 0.0000 8.2338" Properties=species:S:1:pos:R:3 pbc="T T T"
Rb 1.3635 0.0000 1.8273
Rb -0.0971 2.5005 6.3725
Rb 5.9387 2.5005 1.8613
Rb 4.4781 0.0000 6.4065
H 0.0000 2.5005 0.0000
Au 4.3440 0.0000 0.0000
I -1.4232 0.0000 4.1169
I 2.9208 2.5005 4.1169
```


3.
A plane-wave DFT calculation with PBE was carried out for a geometry-optimized Ac2ErZn structure.

Properties
excess energy over the best structure of this formula in the dataset = 385 meV per atom
total energy = -38.5 eV per cell

Geometry as extended XYZ:
```
12
Lattice="3.7606 0.0000 0.0000 -1.8803 3.2568 0.0000 0.0000 0.0000 37.6345" Properties=species:S:1:pos:R:3 pbc="T T T"
Ac 0.0000 0.0000 3.3114
Ac 0.0000 0.0000 34.3230
Ac 0.0000 2.1712 21.7782
Ac 0.0000 2.1712 28.4011
Ac 1.8803 1.0856 9.2334
Ac 1.8803 1.0856 15.8562
Er 0.0000 0.0000 18.8172
Er 0.0000 2.1712 6.2724
Er 1.8803 1.0856 31.3620
Zn 0.0000 0.0000 0.0000
Zn 0.0000 2.1712 25.0897
Zn 1.8803 1.0856 12.5448
```


4.
A plane-wave DFT calculation with PBE was carried out for a geometry-optimized MnSnRuS structure.

Properties
excess energy over the best structure of this formula in the dataset = 55 meV per atom
formation energy (no corrections) = -146 meV per atom
total energy = -54.3 eV per cell

Geometry as extended XYZ:
```
8
Lattice="3.3230 0.0000 0.0000 0.0000 3.1619 0.0000 0.0000 0.0000 13.1319" Properties=species:S:1:pos:R:3 pbc="T T T"
Mn 0.0000 0.0000 0.0000
Mn 0.0000 1.5810 6.5660
Sn 0.0000 0.0000 10.4339
Sn 0.0000 1.5810 3.8680
Ru 1.6615 0.0000 2.2424
Ru 1.6615 1.5810 8.8084
S 1.6615 0.0000 7.0183
S 1.6615 1.5810 0.4523
```


5.
A plane-wave DFT calculation with PBE was carried out for a geometry-optimized NaCuSnCl6 structure.

Properties
formation energy (no corrections) = -986 meV per atom
total energy = -58.7 eV per cell

Geometry as extended XYZ:
```
18
Lattice="6.5155 0.0000 0.0000 -3.2578 5.6426 0.0000 0.0000 0.0000 12.4441" Properties=species:S:1:pos:R:3 pbc="T T T"
Na 0.0000 0.0000 0.0000
Na 0.0000 0.0000 6.2220
Cu 0.0000 3.7617 3.1110
Cu 3.2578 1.8809 9.3331
Sn 0.0000 3.7617 9.3331
Sn 3.2578 1.8809 3.1110
Cl -1.1489 2.0566 7.9213
Cl -2.0511 3.6193 10.7448
Cl 1.1489 2.0566 10.7448
Cl -0.9022 5.6092 7.9213
Cl 2.3555 0.0334 1.6993
Cl 1.2067 2.0233 4.5228
Cl 2.0511 3.6193 7.9213
Cl 0.9022 5.6092 10.7448
Cl 4.1600 0.0334 4.5228
Cl 2.1089 3.5860 1.6993
Cl 5.3088 2.0233 1.6993
Cl 4.4066 3.5860 4.5228
```


6.
A plane-wave DFT calculation with PBE was carried out for a geometry-optimized NaBCl4 structure.

Properties
excess energy over the best structure of this formula in the dataset = 33 meV per atom
formation energy (no corrections) = -1208 meV per atom
total energy = -45.3 eV per cell

Geometry as extended XYZ:
```
12
Lattice="3.3588 -5.1590 0.0000 3.3588 5.1590 0.0000 0.0000 0.0000 8.9988" Properties=species:S:1:pos:R:3 pbc="T T T"
Na 0.0000 0.0000 0.0000
Na 0.0000 0.0000 4.4994
B 3.3588 1.3013 6.7491
B 3.3588 -1.3013 2.2497
Cl 1.8375 0.1733 6.7491
Cl 3.3588 2.2967 5.2024
Cl 3.3588 2.2967 8.2958
Cl 1.8375 -0.1733 2.2497
Cl 4.8801 0.1733 6.7491
Cl 3.3588 -2.2967 0.7030
Cl 3.3588 -2.2967 3.7964
Cl 4.8801 -0.1733 2.2497
```


7.
A plane-wave DFT calculation with PBE was carried out for a geometry-optimized Y4TmMgSe8 structure.

Properties
formation energy (no corrections) = -1724 meV per atom
total energy = -83.9 eV per cell

Geometry as extended XYZ:
```
14
Lattice="4.1673 2.4060 6.8011 -4.1673 2.4060 6.8011 0.0000 -4.8119 6.8011" Properties=species:S:1:pos:R:3 pbc="T T T"
Y 0.0000 0.0000 0.0000
Y 0.0000 -2.3434 11.0366
Y -2.0295 1.1717 11.0366
Y 2.0294 1.1717 11.0366
Tm 0.0000 0.0000 7.7283
Mg 0.0000 0.0000 15.3053
Se 0.0000 0.0000 2.7230
Se 0.0000 -2.2242 5.9261
Se -1.9262 1.1121 5.9261
Se -2.0112 -1.1612 9.3592
Se 1.9262 1.1121 5.9261
Se 2.0112 -1.1612 9.3592
Se 0.0000 2.3224 9.3592
Se 0.0000 0.0000 12.6870
```


8.
A plane-wave DFT calculation with PBE was carried out for a geometry-optimized Pm2NdErH structure.

Properties
total energy = -23.0 eV per cell

Geometry as extended XYZ:
```
5
Lattice="5.1087 0.0000 0.0000 0.0000 5.1087 0.0000 0.0000 0.0000 5.0575" Properties=species:S:1:pos:R:3 pbc="T T T"
Pm 0.0000 2.5544 0.0000
Pm 2.5544 0.0000 0.0000
Nd 0.0000 0.0000 2.5287
Er 2.5544 2.5544 2.5287
H 2.5544 2.5544 0.0000
```


9.
A plane-wave DFT calculation with PBE was carried out for a geometry-optimized TbSc5Tl3 structure.

Properties
excess energy over the best structure of this formula in the dataset = 0 meV per atom
total energy = -91.5 eV per cell

Geometry as extended XYZ:
```
18
Lattice="8.8647 0.0000 0.0000 -4.4324 7.6771 0.0000 0.0000 0.0000 6.3944" Properties=species:S:1:pos:R:3 pbc="T T T"
Tb 0.0000 0.0000 0.0000
Tb 0.0000 0.0000 3.1972
Sc -1.4878 2.5770 1.5986
Sc -2.9445 5.1001 4.7958
Sc 0.0000 5.1181 0.0000
Sc 0.0000 5.1181 3.1972
Sc 2.9756 0.0000 1.5986
Sc 1.4878 2.5770 4.7958
Sc 5.8891 0.0000 4.7958
Sc 2.9445 5.1001 1.5986
Sc 4.4324 2.5590 0.0000
Sc 4.4324 2.5590 3.1972
Tl -1.4927 2.5855 4.7958
Tl -2.9396 5.0916 1.5986
Tl 2.9855 0.0000 4.7958
Tl 1.4927 2.5855 1.5986
Tl 5.8793 0.0000 1.5986
Tl 2.9396 5.0916 4.7958
```


10.
A plane-wave DFT calculation with PBE was carried out for a geometry-optimized ZrTa2AuN structure.

Properties
formation energy (no corrections) = -628 meV per atom
total energy = -47.0 eV per cell

Geometry as extended XYZ:
```
5
Lattice="4.2171 0.0000 0.0000 0.0000 4.2171 0.0000 0.0000 0.0000 4.5633" Properties=species:S:1:pos:R:3 pbc="T T T"
Zr 0.0000 0.0000 0.0000
Ta 0.0000 2.1085 2.2816
Ta 2.1085 0.0000 2.2816
Au 2.1085 2.1085 0.0000
N 0.0000 0.0000 2.2816
```


11.
A plane-wave DFT calculation with PBE was carried out for a geometry-optimized Re3C structure.

Properties
excess energy over the best structure of this formula in the dataset = 1592 meV per atom
total energy = -80.5 eV per cell

Geometry as extended XYZ:
```
8
Lattice="4.7645 0.0000 0.0000 0.0000 4.7645 0.0000 0.0000 0.0000 4.7645" Properties=species:S:1:pos:R:3 pbc="T T T"
Re 0.0000 1.1911 2.3823
Re 0.0000 3.5734 2.3823
Re 1.1911 2.3823 0.0000
Re 2.3823 0.0000 1.1911
Re 2.3823 0.0000 3.5734
Re 3.5734 2.3823 0.0000
C 0.0000 0.0000 0.0000
C 2.3823 2.3823 2.3823
```


12.
A plane-wave DFT calculation with PBE was carried out for a geometry-optimized Cd4Ag2Au structure.

Properties
excess energy over the best structure of this formula in the dataset = 0 meV per atom
total energy = -13.0 eV per cell

Geometry as extended XYZ:
```
7
Lattice="2.3893 1.3795 7.4577 -2.3893 1.3795 7.4577 0.0000 -2.7590 7.4577" Properties=species:S:1:pos:R:3 pbc="T T T"
Cd 0.0000 0.0000 2.5941
Cd 0.0000 0.0000 8.2949
Cd 0.0000 0.0000 14.0781
Cd 0.0000 0.0000 19.7789
Ag 0.0000 0.0000 5.5168
Ag 0.0000 0.0000 16.8562
Au 0.0000 0.0000 11.1865
```